Material: LaTc2Ag
Method: DFT, GGA-PBE
State: relaxed

The formation energy is 0.667 eV per atom. The value obtained for the total energy is -25.84 eV per formula unit. As for the polymorph energy (0 for the lowest one): 0.508 eV per atom.

```
4
Lattice="-0.5744 1.1054 5.3460 -2.6047 -4.5697 -1.5700 2.2257 -1.4541 0.5398" Properties=species:S:1:pos:R:3 pbc="T T T"
Ag 0.8256 -0.1743 2.9429
La -0.1895 -3.0119 -0.5151
Tc 0.0000 0.0000 0.0000
Tc -1.5896 -1.7322 1.8880
```

Material: LaThTcAg
Method: DFT, GGA-PBE
State: relaxed

The formation energy is -0.009 eV per atom. The value obtained for the total energy is -25.60 eV per formula unit.

```
4
Lattice="5.1827 0.0000 0.0000 2.5913 4.4883 0.0000 2.5913 1.4961 4.2317" Properties=species:S:1:pos:R:3 pbc="T T T"
Tc 0.0000 0.0000 0.0000
Ag 5.1827 2.9922 2.1158
Th 2.5913 1.4961 1.0579
La 7.7740 4.4883 3.1737
```

Material: La2TiTcAg
Method: DFT, GGA-PBE
State: relaxed

The formation energy is 1.237 eV per atom. The value obtained for the total energy is -24.78 eV per formula unit.

```
5
Lattice="5.6251 0.0000 0.0000 0.0000 4.8958 0.0000 0.0000 0.0000 5.6251" Properties=species:S:1:pos:R:3 pbc="T T T"
Ti 2.8125 2.4479 2.8125
Tc 0.0000 2.4479 0.0000
Ag 0.0000 0.0000 0.0000
La 0.0000 0.0000 2.8125
La 2.8125 0.0000 0.0000
```

Material: LaTlTcAg2
Method: DFT, GGA-PBE
State: relaxed

The formation energy is 1.226 eV per atom. The value obtained for the total energy is -17.23 eV per formula unit.

```
5
Lattice="5.1740 0.0000 0.0000 0.0000 6.0348 0.0000 0.0000 0.0000 5.1740" Properties=species:S:1:pos:R:3 pbc="T T T"
Tl 0.0000 0.0000 0.0000
Tc 2.5870 3.0174 2.5870
Ag 0.0000 0.0000 2.5870
Ag 2.5870 0.0000 0.0000
La 0.0000 3.0174 0.0000
```

Material: LaTmTcAg
Method: DFT, GGA-PBE
State: relaxed

The formation energy is -0.049 eV per atom. The value obtained for the total energy is -22.81 eV per formula unit.

```
4
Lattice="5.0589 0.0000 0.0000 2.5294 4.3811 0.0000 2.5294 1.4604 4.1305" Properties=species:S:1:pos:R:3 pbc="T T T"
Tm 0.0000 0.0000 0.0000
Tc 7.5883 4.3811 3.0979
Ag 2.5294 1.4604 1.0326
La 5.0589 2.9207 2.0653
```

Material: LaYTcAg
Method: DFT, GGA-PBE
State: relaxed

The formation energy is -0.029 eV per atom. The value obtained for the total energy is -24.73 eV per formula unit.

```
4
Lattice="-3.6960 1.4818 3.1830 0.6729 -0.3770 5.0391 0.5952 4.2089 2.8140" Properties=species:S:1:pos:R:3 pbc="T T T"
Y -1.8209 3.9852 8.2770
Tc -1.2140 2.6568 5.5180
Ag 0.0000 0.0000 0.0000
La -0.6070 1.3284 2.7590
```

Material: LaZrTcAg2
Method: DFT, GGA-PBE
State: relaxed

The formation energy is 0.447 eV per atom. The value obtained for the total energy is -27.31 eV per formula unit.

```
5
Lattice="5.2520 0.0000 0.0000 0.0000 4.7223 0.0000 0.0000 0.0000 5.2520" Properties=species:S:1:pos:R:3 pbc="T T T"
Zr 0.0000 2.3612 0.0000
Tc 0.0000 0.0000 0.0000
Ag 0.0000 0.0000 2.6260
Ag 2.6260 0.0000 0.0000
La 2.6260 2.3612 2.6260
```

Material: LaAg3Te
Method: DFT, GGA-PBE
State: relaxed

For the energy relative to the elements, uncorrected, the calculation gives 0.919 eV per atom. The value obtained for the total energy is -12.03 eV per formula unit. As for the polymorph energy (0 for the lowest one): 0.616 eV per atom.

```
5
Lattice="-2.9362 -4.1097 -2.4545 1.2501 -3.4379 4.2607 -4.6207 1.6814 2.7124" Properties=species:S:1:pos:R:3 pbc="T T T"
Te -3.1534 -2.9331 2.2593
Ag 0.6251 -1.7189 2.1303
Ag -2.3104 0.8407 1.3562
Ag -1.4681 -2.0548 -1.2272
La 0.0000 0.0000 0.0000
```

Material: LaAg2Te
Method: DFT, GGA-PBE
State: relaxed

For the energy relative to the elements, uncorrected, the calculation gives -0.356 eV per atom. The value obtained for the total energy is -15.20 eV per formula unit.

```
4
Lattice="6.6261 0.0112 -0.0041 -3.7661 5.4517 -0.0041 1.4306 2.7327 3.1182" Properties=species:S:1:pos:R:3 pbc="T T T"
Te -1.1677 4.0922 1.5570
Ag 0.0000 0.0000 0.0000
Ag 1.4300 2.7315 -0.0041
La 4.0283 1.3719 1.5570
```

Material: La2AgTe2
Method: DFT, GGA-PBE
State: relaxed

For the energy relative to the elements, uncorrected, the calculation gives -1.038 eV per atom. The value obtained for the total energy is -24.18 eV per formula unit. As for the polymorph energy (0 for the lowest one): 0.043 eV per atom.

```
10
Lattice="8.5961 0.0000 0.0000 0.0000 8.5961 0.0000 0.0000 0.0000 4.1388" Properties=species:S:1:pos:R:3 pbc="T T T"
Te 3.0486 7.3467 0.0000
Te 7.3467 5.5475 0.0000
Te 5.5475 1.2495 0.0000
Te 1.2495 3.0486 0.0000
Ag 0.0000 0.0000 0.0000
Ag 4.2981 4.2981 0.0000
La 1.3448 5.6429 2.0694
La 5.6429 7.2513 2.0694
La 7.2513 2.9532 2.0694
La 2.9532 1.3448 2.0694
```

Material: LaAg3Te3
Method: DFT, GGA-PBE
State: relaxed

For the energy relative to the elements, uncorrected, the calculation gives -0.634 eV per atom. The value obtained for the total energy is -27.34 eV per formula unit.

```
14
Lattice="8.0193 0.0000 0.0000 4.0096 6.9449 0.0000 4.0096 2.3150 7.4286" Properties=species:S:1:pos:R:3 pbc="T T T"
La 8.0193 4.6299 7.4185
La 8.0193 4.6299 0.0101
Ag 9.4313 6.7690 4.6391
Ag 9.1658 2.3375 4.6391
Ag 5.4608 4.7832 4.6391
Ag 10.5778 4.4766 2.7895
Ag 6.8728 6.9223 2.7895
Ag 6.6073 2.4908 2.7895
Te 5.2770 4.7244 1.7340
Te 9.3086 2.2078 1.7340
Te 9.4723 6.9576 1.7340
Te 6.5663 2.3023 5.6946
Te 6.7300 7.0521 5.6946
Te 10.7616 4.5354 5.6946
```

Material: LaAg2Te
Method: DFT, GGA-PBE
State: relaxed

For the energy relative to the elements, uncorrected, the calculation gives -0.464 eV per atom. The value obtained for the total energy is -15.63 eV per formula unit.

```
4
Lattice="3.9841 0.0000 0.0000 0.0000 3.9835 0.0000 0.0000 0.0000 6.9106" Properties=species:S:1:pos:R:3 pbc="T T T"
Te 1.9921 1.9917 5.0517
Ag 0.0000 0.0000 0.5137
Ag 1.9921 1.9917 1.2225
La 0.0000 0.0000 3.5781
```